RbBeSeN2 after structural relaxation. Source: Alexandria, functional PBE.

E_tot, eV per atom: -2.24
Formation energy without anion corrections, eV per formula unit: 13.615
Symmetry: P4/mmm, No. 123

Cell lengths 4.428, 4.428, 6.813 Å; angles 90.00, 90.00, 90.00 degrees
Atoms (fractional coordinates):
Rb 0.000 0.000 0.000
N 0.000 0.500 0.000
Se 0.000 0.000 0.500
Be 0.500 0.500 0.500
N 0.500 0.000 0.000


RbBe2SeN after structural relaxation. Source: Alexandria, functional PBE.

E_tot, eV per atom: -2.66
Formation energy without anion corrections, eV per formula unit: 6.939
Symmetry: P4/mmm, No. 123

Cell lengths 4.300, 6.950, 4.300 Å; angles 90.00, 90.00, 90.00 degrees
Atoms (fractional coordinates):
Se 0.000 0.000 0.000
Rb 0.000 0.500 0.000
Be 0.000 0.000 0.500
Be 0.500 0.000 0.000
N 0.500 0.500 0.500


RbTaBeN3 after structural relaxation. Source: Alexandria, functional PBE.

E_tot, eV per atom: -7.52
Formation energy without anion corrections, eV per formula unit: -3.585
Symmetry: P2_1/m, No. 11

Cell lengths 3.174, 7.773, 7.795 Å; angles 114.71, 90.00, 90.00 degrees
Atoms (fractional coordinates):
N 0.250 0.843 0.444
N 0.750 0.157 0.556
Be 0.750 0.925 0.400
N 0.750 0.844 0.155
N 0.250 0.156 0.845
Ta 0.250 0.673 0.158
Ta 0.750 0.327 0.842
Rb 0.250 0.219 0.252
N 0.750 0.483 0.142
N 0.250 0.517 0.858
Be 0.250 0.075 0.600
Rb 0.750 0.781 0.748